[1]
Density functional theory data (PBE) for crystalline Na2FeCuCl at its relaxed geometry.

extended XYZ file:
```
5
Lattice="5.209 0.000 0.000 0.000 4.666 0.000 0.000 0.000 5.209" Properties=species:S:1:pos:R:3 pbc="T T T"
Na 0.000 0.000 2.605
Na 2.605 0.000 0.000
Fe 2.605 2.333 2.605
Cu 0.000 2.333 0.000
Cl 0.000 0.000 0.000
```

## Properties
As for the space group: No. 123. The calculation puts the density at 2.6 g/cm³. Its energy relative to the elements, uncorrected is 445 meV per atom. The total DFT energy (no corrections) is -2.964 eV/atom. The calculation puts the volume at 25.3 A^3/atom.


[2]
Density functional theory data (PBE) for crystalline NaFe2CuCl8 at its relaxed geometry.

extended XYZ file:
```
12
Lattice="-3.918 -1.957 -5.031 4.514 -4.202 2.541 -5.645 -2.758 5.468" Properties=species:S:1:pos:R:3 pbc="T T T"
Na 0.000 0.000 0.000
Fe -2.476 -3.374 -1.181
Fe -2.572 -5.542 4.159
Cu -2.822 -1.379 2.734
Cl 1.596 -3.506 0.121
Cl -1.834 -2.631 0.826
Cl -4.443 -2.519 -1.810
Cl -6.644 -5.411 2.857
Cl -0.606 -6.398 4.788
Cl -3.214 -6.286 2.152
Cl -2.602 -3.312 4.283
Cl -2.446 -5.605 -1.305
```

## Properties
As for the space group: No. 147. The calculation puts the density at 2.5 g/cm³. Its energy relative to the elements, uncorrected is -853 meV per atom. The total DFT energy (no corrections) is -3.946 eV/atom. The calculation puts the volume at 26.7 A^3/atom.


[3]
Density functional theory data (PBE) for crystalline Na2FeCuCl6 at its relaxed geometry.

extended XYZ file:
```
20
Lattice="-3.769 -5.284 0.531 5.337 -3.976 -1.674 2.307 -0.734 9.100" Properties=species:S:1:pos:R:3 pbc="T T T"
Na 5.376 -3.982 0.753
Na 2.844 -5.649 6.134
Na -1.502 -6.012 7.205
Na 1.030 -4.345 1.824
Fe -0.731 -3.009 4.816
Fe 2.668 -1.988 -0.837
Cu -1.885 -2.642 0.266
Cu 3.822 -2.355 3.713
Cl 2.679 -4.376 -0.491
Cl 2.583 -7.858 4.125
Cl 1.196 -5.618 8.449
Cl 1.292 -2.136 3.832
Cl 3.589 -4.752 3.045
Cl 3.394 -8.161 7.692
Cl 0.285 -5.242 4.913
Cl 0.480 -1.833 0.265
Cl 0.031 -6.974 1.838
Cl 5.450 -6.473 5.375
Cl 3.844 -3.020 6.120
Cl -1.575 -3.521 2.582
```

## Properties
As for the space group: No. 14. The calculation puts the density at 3.0 g/cm³. Its energy relative to the elements, uncorrected is -1076 meV per atom. The total DFT energy (no corrections) is -3.704 eV/atom. The calculation puts the volume at 21.0 A^3/atom.